1.
The following is a DFT calculation (PBE-GGA) of a relaxed structure of Zr5Co19P12.

The density of states at the Fermi level comes out at 0.661 states/eV per atom. As for the formation energy: -885 meV per atom.

The space group is P-62m (No. 189) and the conventional cell measures 11.8165, 11.8165 and 3.6097 Å, with angles of 90.00, 90.00 and 120.00 degrees. Symmetry generates all atoms from Zr at (0.0000, 0.8158, 0.0000), Zr at (0.3333, 0.6667, 0.5000), Co at (0.0000, 0.0000, 0.5000), Co at (0.0000, 0.2849, 0.0000), Co at (0.0000, 0.4513, 0.5000), Co at (0.1272, 0.6439, 0.0000), Co at (0.1787, 0.3769, 0.5000), P at (0.0000, 0.1776, 0.5000), P at (0.0000, 0.6380, 0.5000) and P at (0.1661, 0.4827, 0.0000).

2.
The following is a DFT calculation (PBE-GGA) of a relaxed structure of Y5Ni2Te2.

The density of states at the Fermi level comes out at 1.065 states/eV per atom. The value obtained for the energy above the lowest structure with this stoichiometry is 0.075 eV/f.u. The value obtained for the raw formation energy is -0.81 eV/atom.

The space group is Pnma (No. 62) and the conventional cell measures 14.410, 4.041 and 15.925 Å, with angles of 90.00, 90.00 and 90.00 degrees. Symmetry generates all atoms from Y at (0.110, 0.250, 0.191), Y at (0.119, 0.250, 0.552), Y at (0.134, 0.750, 0.005), Y at (0.152, 0.750, 0.738), Y at (0.209, 0.750, 0.376), Ni at (0.237, 0.750, 0.174), Ni at (0.250, 0.250, 0.069), Te at (0.033, 0.250, 0.373) and Te at (0.054, 0.250, 0.869).

Number 1: electronic total energy -274.5 eV for the cell shown. Number 2: electronic total energy -230.0 eV for the cell shown.